This record from Alexandria via LeMat-Bulk describes a relaxed Sm7TmMg2 crystal. The functional is PBE.

Cell: 5.290 9.400 9.400 Å, 124.12 90.00 90.00°
Positions (direct):
Sm 0.500 0.070 0.296
Sm 0.500 0.704 0.930
Mg 0.500 0.298 0.702
Sm 0.500 0.930 0.704
Sm 0.000 0.790 0.210
Mg 0.500 0.702 0.298
Sm 0.500 0.500 0.500
Sm 0.500 0.296 0.070
Tm 0.000 0.000 0.000
Sm 0.000 0.210 0.790

Results
E, eV/atom: -3.530
Formation enthalpy at 0 K, eV per atom: 0.539

This record from Alexandria via LeMat-Bulk describes a relaxed SmTm2Mg5 crystal. The functional is PBE.

Cell: 5.238 5.238 8.414 Å, 108.14 108.14 90.00°
Positions (direct):
Mg 0.378 0.878 0.755
Mg 0.878 0.378 0.755
Sm 0.000 0.000 0.000
Tm 0.256 0.256 0.513
Mg 0.622 0.122 0.245
Mg 0.122 0.622 0.245
Mg 0.500 0.500 0.000
Tm 0.744 0.744 0.487

Results
E, eV/atom: -2.775
Formation enthalpy at 0 K, eV per atom: -0.071